Nd3Sm6Ho2, relaxed, DFT GGA-PBE; raw total energy = -4.337 eV/atom; density of states at the Fermi level = 16.377 states/eV/f.u.; theoretical density = 6.70 g/cm³
1.0
5.5488 0.0000 0.3405
2.7639 4.8114 0.3404
1.8284 1.0582 15.5929
Nd Sm Ho
3 6 2
Direct
0.0000 0.0000 0.0000
0.7741 0.7741 0.6776
0.2259 0.2259 0.3224
0.9268 0.9268 0.2195
0.0732 0.0732 0.7805
0.7008 0.7008 0.8976
0.2992 0.2992 0.1024
0.8514 0.8514 0.4458
0.1486 0.1486 0.5542
0.3802 0.3802 0.8595
0.6198 0.6198 0.1405